[1]
PBE MgScAl, optimized geometry; symmetry = P-3m1, No. 164; DOS(E_F) = 0.993 states/eV/atom; DFT formation energy = -182 meV per atom; DFT total energy = -24.4 eV for the cell shown
1.0
4.712 0.000 0.000
-2.356 4.081 0.000
0.000 0.000 6.410
Mg Sc Al
2 2 2
direct
0.333 0.667 0.000
0.667 0.333 0.000
0.000 0.000 0.263
0.000 0.000 0.737
0.333 0.667 0.500
0.667 0.333 0.500

---

[2]
PBE SrCdCo, optimized geometry; symmetry = I4mm, No. 107; DOS(E_F) = 1.295 states/eV/atom; DFT formation energy = 274 meV per atom; DFT total energy = -17.8 eV for the cell shown
1.0
3.587 0.000 0.000
0.000 3.587 0.000
0.000 0.000 11.065
Sr Cd Co
2 2 2
direct
0.000 0.000 0.000
0.500 0.500 0.500
0.000 0.000 0.716
0.500 0.500 0.216
0.000 0.000 0.305
0.500 0.500 0.805

---

[3]
PBE LiP2Cl, optimized geometry; energy relative to the elements, uncorrected = -0.558 eV per atom; offset from the most stable computed form = 165 meV/atom; symmetry = Fmmm, No. 69; DOS(E_F) = 0.237 states/eV/atom; DFT total energy = -67.3 eV for the cell shown
1.0
4.675 0.000 0.000
0.000 4.685 0.000
0.000 0.000 17.367
Li P Cl
4 8 4
direct
0.000 0.000 0.000
0.000 0.500 0.500
0.500 0.000 0.500
0.500 0.500 0.000
0.000 0.250 0.250
0.000 0.250 0.750
0.000 0.750 0.250
0.000 0.750 0.750
0.500 0.250 0.250
0.500 0.250 0.750
0.500 0.750 0.250
0.500 0.750 0.750
0.000 0.000 0.500
0.000 0.500 0.000
0.500 0.000 0.000
0.500 0.500 0.500

---

[4]
PBE La3Y4Er2, optimized geometry; symmetry = C2/m, No. 12; DOS(E_F) = 1.536 states/eV/atom; DFT formation energy = 27 meV per atom; DFT total energy = -49.5 eV for the cell shown
1.0
6.014 -1.810 0.000
6.014 1.810 0.000
-5.450 0.000 13.819
La Y Er
3 4 2
direct
0.000 0.000 0.000
0.110 0.110 0.441
0.890 0.890 0.559
0.222 0.222 0.889
0.328 0.328 0.330
0.672 0.672 0.670
0.778 0.778 0.111
0.447 0.447 0.781
0.553 0.553 0.219

---

[5]
PBE Pa2TlPt3, optimized geometry; symmetry = Fddd, No. 70; DOS(E_F) = 1.263 states/eV/atom; DFT formation energy = -555 meV per atom; DFT total energy = -171.3 eV for the cell shown
1.0
0.000 7.275 7.312
5.351 0.000 7.312
5.351 7.275 0.000
Pa Tl Pt
8 4 12
direct
0.174 0.323 0.322
0.319 0.678 0.677
0.322 0.681 0.174
0.323 0.174 0.681
0.677 0.826 0.319
0.678 0.319 0.826
0.681 0.322 0.323
0.826 0.677 0.678
0.000 0.000 0.000
0.000 0.000 0.500
0.000 0.500 0.000
0.500 0.000 0.000
0.114 0.636 0.114
0.115 0.115 0.635
0.231 0.519 0.519
0.364 0.886 0.364
0.365 0.365 0.885
0.481 0.769 0.769
0.519 0.231 0.231
0.635 0.635 0.115
0.636 0.114 0.636
0.769 0.481 0.481
0.885 0.885 0.365
0.886 0.364 0.886

---

[6]
PBE SbTeMo2, optimized geometry; energy relative to the elements, uncorrected = 0.251 eV per atom; offset from the most stable computed form = 129 meV/atom; symmetry = Pmm2, No. 25; DOS(E_F) = 0.764 states/eV/atom; DFT total energy = -27.9 eV for the cell shown
1.0
3.282 0.000 0.000
0.000 4.934 0.000
0.000 0.000 4.751
Sb Te Mo
1 1 2
direct
0.000 0.000 0.000
0.500 0.500 0.736
0.000 0.500 0.267
0.500 0.000 0.480

---

The lowest DFT total energy belongs to which entry? Pa2TlPt3